1.
PBE SnPdSO, optimized geometry; density = 6.38 g/cm3; E_tot = -0.181 hartree per atom
1.0
-6.423 0.598 -2.802
-3.861 -9.667 6.787
-1.716 4.054 4.798
O Pd S Sn
8 8 8 8
Direct
0.659 0.287 0.161 O
0.841 0.787 0.161 O
0.159 0.287 0.339 O
0.341 0.787 0.339 O
0.659 0.213 0.661 O
0.841 0.713 0.661 O
0.159 0.213 0.839 O
0.341 0.713 0.839 O
0.941 0.202 0.125 Pd
0.559 0.702 0.125 Pd
0.441 0.202 0.375 Pd
0.059 0.702 0.375 Pd
0.941 0.298 0.625 Pd
0.559 0.798 0.625 Pd
0.441 0.298 0.875 Pd
0.059 0.798 0.875 Pd
0.548 0.035 0.245 S
0.952 0.535 0.245 S
0.048 0.035 0.255 S
0.452 0.535 0.255 S
0.548 0.465 0.745 S
0.952 0.965 0.745 S
0.048 0.465 0.755 S
0.452 0.965 0.755 S
0.206 0.398 0.112 Sn
0.294 0.898 0.112 Sn
0.706 0.398 0.388 Sn
0.794 0.898 0.388 Sn
0.206 0.102 0.612 Sn
0.294 0.602 0.612 Sn
0.706 0.102 0.888 Sn
0.794 0.602 0.888 Sn

2.
PBE SnPdSO, optimized geometry; density = 6.54 g/cm3; E_tot = -0.185 hartree per atom
1.0
0.083 1.789 3.112
-3.137 -1.107 -1.351
1.144 -10.737 6.143
O Pd S Sn
2 2 2 2
Direct
0.000 0.000 0.325 O
0.000 0.000 0.825 O
0.000 0.000 0.007 Pd
0.000 0.000 0.507 Pd
0.667 0.333 0.101 S
0.333 0.667 0.601 S
0.333 0.667 0.254 Sn
0.667 0.333 0.754 Sn

3.
PBE SnPdSO, optimized geometry; density = 6.26 g/cm3; E_tot = -0.184 hartree per atom
1.0
3.562 0.000 0.000
0.000 6.273 0.000
0.000 0.000 12.977
O Pd S Sn
4 4 4 4
Direct
0.250 0.186 0.199 O
0.250 0.686 0.301 O
0.750 0.314 0.699 O
0.750 0.814 0.801 O
0.750 0.175 0.083 Pd
0.750 0.675 0.417 Pd
0.250 0.325 0.583 Pd
0.250 0.825 0.917 Pd
0.750 0.785 0.038 S
0.750 0.285 0.462 S
0.250 0.715 0.538 S
0.250 0.215 0.962 S
0.250 0.523 0.157 Sn
0.250 0.023 0.343 Sn
0.750 0.977 0.657 Sn
0.750 0.477 0.843 Sn

4.
PBE SnPdSO, optimized geometry; density = 6.51 g/cm3; E_tot = -0.190 hartree per atom
1.0
6.063 0.000 0.000
0.000 7.286 0.000
0.000 0.000 6.309
O Pd S Sn
4 4 4 4
Direct
0.109 0.037 0.006 O
0.609 0.963 0.006 O
0.391 0.037 0.506 O
0.891 0.963 0.506 O
0.004 0.324 0.081 Pd
0.504 0.676 0.081 Pd
0.496 0.324 0.581 Pd
0.996 0.676 0.581 Pd
0.605 0.388 0.215 S
0.105 0.612 0.215 S
0.895 0.388 0.715 S
0.395 0.612 0.715 S
0.095 0.182 0.448 Sn
0.595 0.818 0.448 Sn
0.405 0.182 0.948 Sn
0.905 0.818 0.948 Sn

5.
PBE SnPdSO, optimized geometry; density = 6.34 g/cm3; E_tot = -0.178 hartree per atom
1.0
-2.139 -3.247 -1.510
3.168 -0.896 -2.561
3.293 -4.852 5.771
O Pd S Sn
2 2 2 2
Direct
0.750 0.250 0.500 O
0.250 0.750 0.500 O
0.250 0.250 0.457 Pd
0.750 0.750 0.542 Pd
0.250 0.250 0.144 S
0.750 0.750 0.856 S
0.750 0.750 0.183 Sn
0.250 0.250 0.817 Sn

6.
PBE SrPdSO, optimized geometry; density = 5.25 g/cm3; E_tot = -0.185 hartree per atom
1.0
-1.512 3.697 1.177
-3.030 -0.337 -2.836
-5.144 -4.005 5.970
O Pd S Sr
2 2 2 2
Direct
0.750 0.250 0.500 O
0.250 0.750 0.500 O
0.250 0.250 0.434 Pd
0.750 0.750 0.566 Pd
0.250 0.250 0.149 S
0.750 0.750 0.851 S
0.750 0.750 0.191 Sr
0.250 0.250 0.809 Sr

7.
PBE SrPdSO, optimized geometry; density = 5.60 g/cm3; E_tot = -0.191 hartree per atom
1.0
1.910 -6.419 0.000
1.910 6.419 0.000
0.000 0.000 5.856
O Pd S Sr
2 2 2 2
Direct
0.000 0.000 0.000 O
0.000 0.000 0.500 O
0.128 0.872 0.250 Pd
0.872 0.128 0.750 Pd
0.721 0.279 0.250 S
0.279 0.721 0.750 S
0.409 0.591 0.250 Sr
0.591 0.409 0.750 Sr

8.
PBE SrPdSO, optimized geometry; density = 5.02 g/cm3; E_tot = -0.156 hartree per atom
1.0
4.526 0.000 0.000
0.000 4.526 0.000
0.000 0.000 7.812
O Pd S Sr
2 2 2 2
Direct
0.250 0.250 0.466 O
0.750 0.750 0.534 O
0.750 0.750 0.254 Pd
0.250 0.250 0.746 Pd
0.250 0.250 0.270 S
0.750 0.750 0.730 S
0.750 0.250 0.000 Sr
0.250 0.750 0.000 Sr

9.
PBE SrPdSO, optimized geometry; density = 5.66 g/cm3; E_tot = -0.184 hartree per atom
1.0
1.772 -6.859 0.000
1.772 6.859 0.000
0.000 0.000 5.840
O Pd S Sr
2 2 2 2
Direct
0.000 0.000 0.000 O
0.000 0.000 0.500 O
0.418 0.582 0.250 Pd
0.582 0.418 0.750 Pd
0.810 0.190 0.250 S
0.190 0.810 0.750 S
0.136 0.864 0.250 Sr
0.864 0.136 0.750 Sr

10.
PBE SrPdSO, optimized geometry; density = 5.23 g/cm3; E_tot = -0.189 hartree per atom
1.0
-1.983 -3.639 1.264
2.676 -0.279 3.396
-5.239 4.414 4.491
O Pd S Sr
2 2 2 2
Direct
0.750 0.750 0.117 O
0.250 0.250 0.883 O
0.750 0.750 0.386 Pd
0.250 0.250 0.614 Pd
0.750 0.250 0.500 S
0.250 0.750 0.500 S
0.250 0.250 0.160 Sr
0.750 0.750 0.840 Sr

11.
PBE SrPdSO, optimized geometry; density = 5.53 g/cm3; E_tot = -0.191 hartree per atom
1.0
3.888 0.000 0.000
0.000 3.888 0.000
0.000 0.000 9.619
O Pd S Sr
2 2 2 2
Direct
0.250 0.250 0.395 O
0.750 0.750 0.605 O
0.750 0.250 0.000 Pd
0.250 0.750 0.000 Pd
0.250 0.250 0.152 S
0.750 0.750 0.848 S
0.750 0.750 0.358 Sr
0.250 0.250 0.642 Sr

12.
PBE SrPdSO, optimized geometry; density = 5.30 g/cm3; E_tot = -0.193 hartree per atom
1.0
-4.284 6.626 -0.771
-0.661 -0.816 -3.336
-8.969 -5.437 3.109
O Pd S Sr
4 4 4 4
Direct
0.200 0.500 0.134 O
0.700 0.500 0.366 O
0.300 0.000 0.634 O
0.800 0.000 0.866 O
0.217 0.000 0.018 Pd
0.717 0.000 0.482 Pd
0.283 0.500 0.518 Pd
0.783 0.500 0.982 Pd
0.755 0.000 0.118 S
0.255 0.000 0.382 S
0.745 0.500 0.618 S
0.245 0.500 0.882 S
0.479 0.500 0.218 Sr
0.979 0.500 0.282 Sr
0.021 0.000 0.718 Sr
0.521 0.000 0.782 Sr

> What is the density in the tenth record?

5.23 g/cm3

Copy entry 3 word for word.
PBE SnPdSO, optimized geometry; density = 6.26 g/cm3; E_tot = -0.184 hartree per atom
1.0
3.562 0.000 0.000
0.000 6.273 0.000
0.000 0.000 12.977
O Pd S Sn
4 4 4 4
Direct
0.250 0.186 0.199 O
0.250 0.686 0.301 O
0.750 0.314 0.699 O
0.750 0.814 0.801 O
0.750 0.175 0.083 Pd
0.750 0.675 0.417 Pd
0.250 0.325 0.583 Pd
0.250 0.825 0.917 Pd
0.750 0.785 0.038 S
0.750 0.285 0.462 S
0.250 0.715 0.538 S
0.250 0.215 0.962 S
0.250 0.523 0.157 Sn
0.250 0.023 0.343 Sn
0.750 0.977 0.657 Sn
0.750 0.477 0.843 Sn

> What is the formula in the first record?

SnPdSO